No. 1
Here is a relaxed structure of La12GePb4N3 from Alexandria via LeMat-Bulk. Energies are from GGA-PBE.

The uncorrected formation energy is -0.79 eV per atom. The calculated volume comes out at 29.5 Å³/atom. For the theoretical density, the calculation gives 7358 kg/m3. Its total magnetization is 0.0 μB per cell. Its crystal system is cubic.

The space group is Im-3m (No. 229) and the conventional cell measures 10.562, 10.562 and 10.562 Å, with angles of 90.00, 90.00 and 90.00 degrees. Symmetry generates all atoms from La at (0.000, 0.000, 0.270), La at (0.000, 0.250, 0.500), Ge at (0.000, 0.000, 0.000), Pb at (0.250, 0.250, 0.250) and N at (0.000, 0.000, 0.500).

=====

No. 2
Here is a relaxed structure of La7GePb2N2 from Alexandria via LeMat-Bulk. Energies are from GGA-PBE.

The uncorrected formation energy is -0.88 eV per atom. The calculated volume comes out at 28.5 Å³/atom. For the theoretical density, the calculation gives 7232 kg/m3. Its total magnetization is 0.0 μB per cell. Its crystal system is monoclinic.

The space group is C2/m (No. 12) and the conventional cell measures 7.135, 7.133 and 13.885 Å, with angles of 90.00, 104.85 and 90.00 degrees. Symmetry generates all atoms from La at (0.000, 0.000, 0.000), La at (0.161, 0.250, 0.820), La at (0.191, 0.000, 0.384), Ge at (0.000, 0.500, 0.000), Pb at (0.179, 0.500, 0.361) and N at (0.098, 0.000, 0.197).

=====

No. 3
Here is a relaxed structure of La4GePbN from Alexandria via LeMat-Bulk. Energies are from GGA-PBE.

The uncorrected formation energy is -0.85 eV per atom. The calculated volume comes out at 29.6 Å³/atom. For the theoretical density, the calculation gives 6814 kg/m3. Its total magnetization is 0.9 μB per cell. Its crystal system is orthorhombic.

The space group is Cmcm (No. 63) and the conventional cell measures 6.918, 17.202 and 6.958 Å, with angles of 90.00, 90.00 and 90.00 degrees. Symmetry generates all atoms from La at (0.000, 0.064, 0.250), La at (0.000, 0.414, 0.250), La at (0.250, 0.250, 0.000), Ge at (0.000, 0.116, 0.750), Pb at (0.000, 0.392, 0.750) and N at (0.000, 0.275, 0.250).

=====

No. 4
Here is a relaxed structure of LaPm2GeN4 from Alexandria via LeMat-Bulk. Energies are from GGA-PBE.

The uncorrected formation energy is -0.99 eV per atom. The calculated volume comes out at 16.1 Å³/atom. For the theoretical density, the calculation gives 7209 kg/m3. Its total magnetization is 0.0 μB per cell. Its crystal system is orthorhombic.

The space group is Cmcm (No. 63) and the conventional cell measures 3.636, 11.773 and 12.002 Å, with angles of 90.00, 90.00 and 90.00 degrees. Symmetry generates all atoms from La at (0.000, 0.099, 0.250), Pm at (0.000, 0.369, 0.044), Ge at (0.000, 0.167, 0.750), N at (0.000, 0.000, 0.000), N at (0.000, 0.272, 0.630) and N at (0.000, 0.417, 0.250).

=====

No. 5
Here is a relaxed structure of La2PmGeN4 from Alexandria via LeMat-Bulk. Energies are from GGA-PBE.

The uncorrected formation energy is -0.89 eV per atom. The calculated volume comes out at 16.7 Å³/atom. For the theoretical density, the calculation gives 6869 kg/m3. Its total magnetization is 0.0 μB per cell. Its crystal system is orthorhombic.

The space group is Cmcm (No. 63) and the conventional cell measures 3.677, 11.751 and 12.341 Å, with angles of 90.00, 90.00 and 90.00 degrees. Symmetry generates all atoms from La at (0.000, 0.131, 0.046), Pm at (0.000, 0.397, 0.250), Ge at (0.000, 0.333, 0.750), N at (0.000, 0.080, 0.250), N at (0.000, 0.223, 0.636) and N at (0.000, 0.500, 0.000).

=====

No. 6
Here is a relaxed structure of LaPr2GeN4 from Alexandria via LeMat-Bulk. Energies are from GGA-PBE.

The uncorrected formation energy is -0.90 eV per atom. The calculated volume comes out at 16.7 Å³/atom. For the theoretical density, the calculation gives 6844 kg/m3. Its total magnetization is 0.0 μB per cell. Its crystal system is orthorhombic.

The space group is Cmcm (No. 63) and the conventional cell measures 3.674, 11.884 and 12.211 Å, with angles of 90.00, 90.00 and 90.00 degrees. Symmetry generates all atoms from La at (0.000, 0.100, 0.250), Pr at (0.000, 0.369, 0.045), Ge at (0.000, 0.168, 0.750), N at (0.000, 0.000, 0.000), N at (0.000, 0.274, 0.633) and N at (0.000, 0.416, 0.250).

=====

Q: Which formula does entry 3 have?
A: La4GePbN

=====

Q: The highest calculated volume belongs to which entry?
A: La4GePbN

=====

Q: What is the formula in the sixth record?
A: LaPr2GeN4

=====

Q: What is the calculated volume in the sixth record?
A: 16.7 Å³/atom